(1)
Computed, not measured: Ho2NiI2 after structural relaxation at the PBE-GGA level of DFT.

The structure in extended XYZ format:
```
5
Lattice="-1.552 2.428 2.784 -1.139 -1.484 3.543 10.074 2.514 6.306" Properties=species:S:1:pos:R:3 pbc="T T T"
Ho 2.434 2.376 5.051
Ho 4.949 1.081 7.582
Ni 4.467 0.515 4.924
I 0.221 0.217 5.700
I 7.162 3.240 6.932
```

Output
Its uncorrected energy is -4.49 eV/atom. For the density of states at the Fermi level, the calculation gives 0.350 states/eV/atom. Its symmetry is C2/m, No. 12. The uncorrected formation energy comes out at -0.88 eV per atom. The calculation puts the total magnetization at 0.00 μB/cell.

---

(2)
Computed, not measured: Ho2NiI after structural relaxation at the PBE-GGA level of DFT.

The structure in extended XYZ format:
```
4
Lattice="3.540 0.000 0.000 1.770 3.066 0.000 1.770 1.022 10.114" Properties=species:S:1:pos:R:3 pbc="T T T"
I 3.540 2.044 5.057
Ni 0.000 0.000 0.000
Ho 1.770 1.022 7.603
Ho 5.310 3.066 2.511
```

Output
Its uncorrected energy is -3.92 eV/atom. The distance to the lowest polymorph of the same formula comes out at 0.864 eV per atom. For the density of states at the Fermi level, the calculation gives 0.905 states/eV/atom. Its symmetry is R-3m, No. 166. The uncorrected formation energy comes out at 0.21 eV per atom. The calculation puts the total magnetization at 0.00 μB/cell.

---

(3)
Computed, not measured: HoNiI after structural relaxation at the PBE-GGA level of DFT.

The structure in extended XYZ format:
```
6
Lattice="3.925 0.000 0.000 1.963 3.394 -0.191 1.963 -0.400 12.905" Properties=species:S:1:pos:R:3 pbc="T T T"
Ho 3.925 0.239 4.224
Ho 3.925 2.755 8.489
Ni 3.925 0.396 6.935
Ni 3.925 2.599 5.779
I 1.963 1.250 2.027
I 5.888 1.744 10.687
```

Output
Its uncorrected energy is -4.59 eV/atom. For the density of states at the Fermi level, the calculation gives 0.457 states/eV/atom. Its symmetry is R-3m, No. 166. The uncorrected formation energy comes out at -0.62 eV per atom. The calculation puts the total magnetization at 0.00 μB/cell.

---

(4)
Computed, not measured: PmHoNiI after structural relaxation at the PBE-GGA level of DFT.

The structure in extended XYZ format:
```
4
Lattice="4.049 0.000 0.000 -2.024 3.507 0.000 -2.024 -1.168 7.919" Properties=species:S:1:pos:R:3 pbc="T T T"
Pm 0.382 -0.256 5.450
Ho -1.641 3.250 0.381
Ni -1.641 0.913 6.924
I 2.406 0.913 2.841
```

Output
Its uncorrected energy is -4.83 eV/atom. For the density of states at the Fermi level, the calculation gives 0.680 states/eV/atom. Its symmetry is R3m, No. 160. The uncorrected formation energy comes out at -0.66 eV per atom. The calculation puts the total magnetization at 0.00 μB/cell.

---

(5)
Computed, not measured: SmHoNiI after structural relaxation at the PBE-GGA level of DFT.

The structure in extended XYZ format:
```
4
Lattice="-1.781 2.408 2.712 -0.118 -4.011 0.473 7.942 0.024 2.185" Properties=species:S:1:pos:R:3 pbc="T T T"
Sm 4.533 0.633 2.982
Ho 0.106 -3.565 0.793
Ni 6.324 -1.452 3.001
I 1.095 0.805 3.582
```

Output
Its uncorrected energy is -4.82 eV/atom. For the density of states at the Fermi level, the calculation gives 0.647 states/eV/atom. Its symmetry is R3m, No. 160. The uncorrected formation energy comes out at -0.66 eV per atom. The calculation puts the total magnetization at 0.00 μB/cell.

---

(6)
Computed, not measured: HoNpI after structural relaxation at the PBE-GGA level of DFT.

The structure in extended XYZ format:
```
6
Lattice="3.439 -1.041 -0.783 0.876 3.468 -0.772 -1.258 -0.589 14.444" Properties=species:S:1:pos:R:3 pbc="T T T"
I 2.320 -0.320 4.501
I 3.594 0.539 -0.088
Ho 1.512 2.216 6.310
Ho 0.581 1.923 12.560
Np 3.034 0.428 8.645
Np 1.622 -0.797 10.214
```

Output
Its uncorrected energy is -6.70 eV/atom. For the density of states at the Fermi level, the calculation gives 1.588 states/eV/atom. Its symmetry is P-1, No. 2. The uncorrected formation energy comes out at -0.34 eV per atom. The calculation puts the total magnetization at 2.53 μB/cell.

---

(7)
Computed, not measured: HoNpI6 after structural relaxation at the PBE-GGA level of DFT.

The structure in extended XYZ format:
```
8
Lattice="-5.496 -4.826 -3.570 3.848 -1.732 6.959 -4.733 5.268 2.652" Properties=species:S:1:pos:R:3 pbc="T T T"
Ho -3.190 -0.645 3.021
Np 0.000 0.000 0.000
I -3.360 -0.492 6.039
I -6.119 -1.405 2.930
I -0.262 0.116 3.111
I -3.021 -0.798 0.002
I -3.946 2.283 2.831
I -2.435 -3.572 3.211
```

Output
Its uncorrected energy is -4.44 eV/atom. For the density of states at the Fermi level, the calculation gives 0.429 states/eV/atom. Its symmetry is C2/m, No. 12. The uncorrected formation energy comes out at -1.09 eV per atom. The calculation puts the total magnetization at 4.00 μB/cell.

---

(8)
Computed, not measured: Ho2I2O after structural relaxation at the PBE-GGA level of DFT.

The structure in extended XYZ format:
```
10
Lattice="3.886 0.000 -0.767 -0.142 6.938 -0.720 0.261 0.153 11.552" Properties=species:S:1:pos:R:3 pbc="T T T"
Ho 0.706 6.155 3.575
Ho 3.299 0.936 6.490
Ho 1.286 4.120 6.517
Ho 2.719 2.971 3.547
I 0.412 1.400 2.087
I 3.593 5.691 7.977
I 1.761 2.186 8.924
I 2.244 4.905 1.140
O 0.856 4.062 4.337
O 3.149 3.029 5.727
```

Output
Its uncorrected energy is -5.38 eV/atom. For the density of states at the Fermi level, the calculation gives 0.397 states/eV/atom. Its symmetry is C2/m, No. 12. The uncorrected formation energy comes out at -1.94 eV per atom. The calculation puts the total magnetization at 1.82 μB/cell.

---

(9)
Computed, not measured: Ho3IO7 after structural relaxation at the PBE-GGA level of DFT.

The structure in extended XYZ format:
```
22
Lattice="-5.732 -0.363 3.192 -0.992 -1.800 -6.242 1.475 -7.169 1.833" Properties=species:S:1:pos:R:3 pbc="T T T"
Ho -2.383 -4.589 -0.499
Ho -3.604 -1.159 -1.634
Ho -2.662 -2.034 2.145
Ho -2.569 -7.387 -3.339
Ho 0.557 -6.288 -1.935
Ho -5.824 -2.957 0.696
I -5.961 -5.740 -2.121
I -0.026 -0.008 -0.012
O -4.059 -5.808 -2.642
O -1.806 -0.530 0.660
O -5.352 -4.863 -0.462
O 0.719 -7.464 0.011
O -0.102 -4.390 -0.939
O -5.826 -1.643 -1.121
O -1.387 -3.733 1.428
O -3.183 -8.899 -1.801
O -2.365 -3.064 -2.317
O -2.884 -6.268 1.101
O -3.650 -2.675 0.241
O -1.599 -6.658 -1.457
O -4.951 -2.281 2.829
O -0.298 -7.052 -4.045
```

Output
Its uncorrected energy is -7.08 eV/atom. For the density of states at the Fermi level, the calculation gives 0.000 states/eV/atom. Its symmetry is C222_1, No. 20. The uncorrected formation energy comes out at -2.53 eV per atom. The calculation puts the total magnetization at 0.00 μB/cell.

---

(10)
Computed, not measured: HoI3O9 after structural relaxation at the PBE-GGA level of DFT.

The structure in extended XYZ format:
```
52
Lattice="6.274 0.000 0.000 0.000 8.800 0.014 0.000 6.995 15.240" Properties=species:S:1:pos:R:3 pbc="T T T"
Ho 4.837 8.246 1.695
Ho 1.436 7.550 13.559
Ho 1.701 4.052 5.939
Ho 4.573 11.743 9.315
I 5.337 9.963 14.991
I 1.843 1.604 2.144
I 2.201 9.330 7.883
I 4.073 6.465 7.371
I 0.539 7.268 4.614
I 2.598 10.766 12.234
I 3.676 5.030 3.021
I 1.293 5.102 9.764
I 4.430 14.191 13.110
I 0.936 5.833 0.263
I 5.735 8.527 10.641
I 4.980 10.693 5.490
O 4.281 11.027 11.543
O 2.146 1.194 0.403
O 1.993 4.768 3.712
O 4.178 4.764 8.048
O 6.179 10.024 9.665
O 3.000 5.978 5.956
O 0.094 5.771 5.589
O 5.283 11.104 7.231
O 0.137 9.476 13.576
O 2.777 7.018 8.583
O 0.160 2.794 4.791
O 3.497 8.777 6.671
O 3.274 9.817 9.299
O 1.041 14.529 14.826
O 0.991 4.691 8.024
O 3.231 6.527 2.045
O 5.817 7.244 9.336
O 5.914 12.275 14.291
O 1.144 8.266 11.332
O 2.096 11.031 7.206
O 0.551 9.154 2.614
O 3.687 3.144 5.020
O 5.130 7.530 3.922
O 4.128 14.602 14.851
O 2.586 12.651 10.234
O 5.232 1.267 0.428
O 2.977 6.292 12.411
O 3.594 3.747 1.716
O 5.723 6.642 12.641
O 2.680 12.049 13.539
O 3.297 9.504 2.844
O 0.360 3.521 0.963
O 0.457 8.551 5.919
O 6.137 6.320 1.679
O 6.114 13.001 10.464
O 3.042 9.269 13.210
```

Output
Its uncorrected energy is -5.14 eV/atom. The distance to the lowest polymorph of the same formula comes out at 0.000 eV per atom. For the density of states at the Fermi level, the calculation gives 0.000 states/eV/atom. Its symmetry is P2_1/c, No. 14. The uncorrected formation energy comes out at -1.00 eV per atom. The calculation puts the total magnetization at 0.00 μB/cell.

---

(11)
Computed, not measured: HoI3O9 after structural relaxation at the PBE-GGA level of DFT.

The structure in extended XYZ format:
```
26
Lattice="6.161 0.000 0.000 0.000 7.740 0.000 0.000 0.000 8.721" Properties=species:S:1:pos:R:3 pbc="T T T"
Ho 0.000 5.496 4.360
Ho 3.080 2.244 0.000
I 3.080 6.884 6.016
I 3.080 6.884 2.705
I 0.000 0.856 7.065
I 0.000 0.856 1.656
I 0.000 3.750 0.000
I 3.080 3.990 4.360
O 4.299 4.841 5.613
O 4.299 4.841 3.108
O 1.862 4.841 5.613
O 1.862 4.841 3.108
O 4.942 2.898 7.468
O 4.942 2.898 1.252
O 1.219 2.898 7.468
O 1.219 2.898 1.252
O 0.000 3.206 4.360
O 3.080 4.534 0.000
O 1.866 7.245 4.360
O 4.295 7.245 4.360
O 1.214 0.495 0.000
O 4.946 0.495 0.000
O 0.000 6.805 6.497
O 0.000 6.805 2.224
O 3.080 0.935 6.584
O 3.080 0.935 2.137
```

Output
Its uncorrected energy is -4.65 eV/atom. The distance to the lowest polymorph of the same formula comes out at 0.488 eV per atom. For the density of states at the Fermi level, the calculation gives 0.111 states/eV/atom. Its symmetry is Pmmn, No. 59. The uncorrected formation energy comes out at -0.51 eV per atom. The calculation puts the total magnetization at 2.47 μB/cell.

---

(12)
Computed, not measured: HoI2O6 after structural relaxation at the PBE-GGA level of DFT.

The structure in extended XYZ format:
```
18
Lattice="5.726 -0.514 1.519 1.858 7.332 -0.432 -0.983 -1.058 7.438" Properties=species:S:1:pos:R:3 pbc="T T T"
Ho 0.692 -0.466 7.142
Ho 5.908 6.227 1.383
I 1.893 3.067 6.211
I 1.126 0.826 3.546
I 4.708 2.694 2.313
I 5.475 4.934 4.978
O 3.923 4.427 4.148
O 6.173 2.946 3.382
O 2.678 1.334 4.376
O 0.427 2.814 5.142
O 6.169 6.010 3.592
O 4.901 4.236 1.243
O 0.432 -0.250 4.932
O 1.700 1.524 7.282
O 1.262 4.978 6.650
O 2.193 0.205 1.898
O 5.339 0.783 1.875
O 4.407 5.555 6.626
```

Output
Its uncorrected energy is -5.22 eV/atom. For the density of states at the Fermi level, the calculation gives 0.388 states/eV/atom. Its symmetry is C2/c, No. 15. The uncorrected formation energy comes out at -1.06 eV per atom. The calculation puts the total magnetization at 1.09 μB/cell.